CsAl2Sb2 | Alexandria | GGA-PBE | relaxed; energy = -32.358 eV for the cell shown; formation energy from raw total energies = 80.9 meV/atom; SG = P4/mbm, No. 127; DOS(E_F) = 2.29 states/eV per cell
1.0
9.348 0.000 0.000
0.000 9.348 0.000
0.000 0.000 3.837
Cs Al Sb
2 4 4
Direct
0.000 0.000 0.000
0.500 0.500 0.000
0.123 0.377 0.500
0.377 0.877 0.500
0.623 0.123 0.500
0.877 0.623 0.500
0.115 0.615 0.000
0.385 0.115 0.000
0.615 0.885 0.000
0.885 0.385 0.000



CsAlSb | Alexandria | GGA-PBE | relaxed; energy above the lowest structure with this stoichiometry = 0.191 eV/atom; energy = -18.053 eV for the cell shown; formation energy from raw total energies = -102.7 meV/atom; SG = Cmcm, No. 63; DOS(E_F) = 2.75 states/eV per cell
1.0
2.226 -10.037 0.000
2.226 10.037 0.000
0.000 0.000 5.275
Cs Al Sb
2 2 2
Direct
0.178 0.822 0.750
0.822 0.178 0.250
0.029 0.971 0.250
0.971 0.029 0.750
0.396 0.604 0.750
0.604 0.396 0.250



CsAl3Sb3 | Alexandria | GGA-PBE | relaxed; energy above the lowest structure with this stoichiometry = 0.009 eV/atom; energy = -51.362 eV for the cell shown; formation energy from raw total energies = -176.1 meV/atom; SG = Pm-3n, No. 223; DOS(E_F) = 3.22 states/eV per cell
1.0
7.753 0.000 0.000
0.000 7.753 0.000
0.000 0.000 7.753
Cs Al Sb
2 6 6
Direct
0.000 0.000 0.000
0.500 0.500 0.500
0.000 0.250 0.500
0.000 0.750 0.500
0.250 0.500 0.000
0.500 0.000 0.250
0.500 0.000 0.750
0.750 0.500 0.000
0.000 0.500 0.250
0.000 0.500 0.750
0.250 0.000 0.500
0.500 0.250 0.000
0.500 0.750 0.000
0.750 0.000 0.500



CsAlSb | Alexandria | GGA-PBE | relaxed; energy above the lowest structure with this stoichiometry = 0.025 eV/atom; energy = -19.047 eV for the cell shown; formation energy from raw total energies = -268.3 meV/atom; SG = Cm, No. 8; DOS(E_F) = 0.00 states/eV per cell
1.0
5.796 -2.268 0.000
5.796 2.268 0.000
-1.585 0.000 8.719
Cs Al Sb
2 2 2
Direct
0.000 0.000 0.000
0.697 0.697 0.718
0.188 0.188 0.372
0.959 0.959 0.433
0.396 0.396 0.588
0.747 0.747 0.216



Cs2AlSb2 | Alexandria | GGA-PBE | relaxed; energy above the lowest structure with this stoichiometry = 0.000 eV/atom; energy = -31.033 eV for the cell shown; formation energy from raw total energies = -364.4 meV/atom; SG = Ibam, No. 72; DOS(E_F) = 11.73 states/eV per cell
1.0
-4.078 7.855 3.558
4.078 -7.855 3.558
4.078 7.855 -3.558
Cs Al Sb
4 2 4
Direct
0.146 0.174 0.320
0.354 0.674 0.029
0.646 0.326 0.971
0.854 0.826 0.680
0.250 0.750 0.500
0.750 0.250 0.500
0.096 0.674 0.770
0.404 0.174 0.578
0.596 0.826 0.422
0.904 0.326 0.230



Cs2Al2Sb3 | Alexandria | GGA-PBE | relaxed; energy = -47.351 eV for the cell shown; formation energy from raw total energies = -302.3 meV/atom; SG = C2/m, No. 12; DOS(E_F) = 2.38 states/eV per cell
1.0
10.245 -2.335 0.000
10.245 2.335 0.000
-7.484 0.000 11.147
Cs Al Sb
4 4 6
Direct
0.128 0.128 0.480
0.236 0.236 0.847
0.764 0.764 0.153
0.872 0.872 0.520
0.072 0.072 0.128
0.483 0.483 0.209
0.517 0.517 0.791
0.928 0.928 0.872
0.083 0.083 0.930
0.368 0.368 0.742
0.442 0.442 0.373
0.558 0.558 0.627
0.632 0.632 0.258
0.917 0.917 0.070



CsAlSnSb2 | Alexandria | GGA-PBE | relaxed; energy = -9.728 eV for the cell shown; formation energy from raw total energies = 1423.1 meV/atom; SG = P4/mmm, No. 123; DOS(E_F) = 2.29 states/eV per cell
1.0
6.149 0.000 0.000
0.000 6.149 0.000
0.000 0.000 5.788
Cs Al Sn Sb
1 1 1 2
Direct
0.000 0.000 0.000
0.000 0.000 0.500
0.500 0.500 0.500
0.000 0.500 0.000
0.500 0.000 0.000



CsAlTl2Sb2 | Alexandria | GGA-PBE | relaxed; energy = -36.656 eV for the cell shown; formation energy from raw total energies = -125.8 meV/atom; SG = Pmc2_1, No. 26; DOS(E_F) = 1.86 states/eV per cell
1.0
4.306 0.000 0.000
0.000 14.678 0.000
0.000 0.000 7.031
Cs Al Tl Sb
2 2 4 4
Direct
0.000 0.088 0.000
0.000 0.912 0.500
0.500 0.279 0.720
0.500 0.721 0.220
0.000 0.307 0.375
0.000 0.693 0.875
0.500 0.485 0.186
0.500 0.515 0.686
0.000 0.357 0.878
0.000 0.643 0.378
0.500 0.143 0.482
0.500 0.857 0.982



CsAlZnSb2 | Alexandria | GGA-PBE | relaxed; energy = -30.867 eV for the cell shown; formation energy from raw total energies = -263.8 meV/atom; SG = Cmme, No. 67; DOS(E_F) = 0.04 states/eV per cell
1.0
3.314 -8.022 0.000
3.314 8.022 0.000
0.000 0.000 6.766
Cs Al Zn Sb
2 2 2 4
Direct
0.250 0.750 0.764
0.750 0.250 0.236
0.250 0.250 0.500
0.750 0.750 0.500
0.000 0.000 0.000
0.500 0.500 0.000
0.103 0.897 0.286
0.397 0.603 0.286
0.603 0.397 0.714
0.897 0.103 0.714



CsSc4Al2 | Alexandria | GGA-PBE | relaxed; energy of formation = 0.95 eV/atom; energy = -26.982 eV for the cell shown; SG = I4/mmm, No. 139; DOS(E_F) = 10.76 states/eV per cell
1.0
-2.649 2.649 6.887
2.649 -2.649 6.887
2.649 2.649 -6.887
Cs Sc Al
1 4 2
Direct
0.000 0.000 0.000
0.000 0.500 0.500
0.204 0.204 0.000
0.500 0.000 0.500
0.796 0.796 0.000
0.404 0.404 0.000
0.596 0.596 0.000



CsScAl3 | Alexandria | GGA-PBE | relaxed; energy of formation = 1.72 eV/atom; energy above the lowest structure with this stoichiometry = 1.108 eV/atom; energy = -9.795 eV for the cell shown; SG = Pm-3m, No. 221; DOS(E_F) = 6.51 states/eV per cell
1.0
5.547 0.000 0.000
0.000 5.547 0.000
0.000 0.000 5.547
Cs Sc Al
1 1 3
Direct
0.000 0.000 0.000
0.500 0.500 0.500
0.000 0.000 0.500
0.000 0.500 0.000
0.500 0.000 0.000



CsScAl3 | Alexandria | GGA-PBE | relaxed; energy of formation = 0.62 eV/atom; energy above the lowest structure with this stoichiometry = 0.000 eV/atom; energy = -15.334 eV for the cell shown; SG = Pm-3m, No. 221; DOS(E_F) = 4.81 states/eV per cell
1.0
5.578 0.000 0.000
0.000 5.578 0.000
0.000 0.000 5.578
Cs Sc Al
1 1 3
Direct
0.000 0.000 0.000
0.500 0.500 0.500
0.000 0.500 0.500
0.500 0.000 0.500
0.500 0.500 0.000



Repeat the eighth record exactly.
CsAlTl2Sb2 | Alexandria | GGA-PBE | relaxed; energy = -36.656 eV for the cell shown; formation energy from raw total energies = -125.8 meV/atom; SG = Pmc2_1, No. 26; DOS(E_F) = 1.86 states/eV per cell
1.0
4.306 0.000 0.000
0.000 14.678 0.000
0.000 0.000 7.031
Cs Al Tl Sb
2 2 4 4
Direct
0.000 0.088 0.000
0.000 0.912 0.500
0.500 0.279 0.720
0.500 0.721 0.220
0.000 0.307 0.375
0.000 0.693 0.875
0.500 0.485 0.186
0.500 0.515 0.686
0.000 0.357 0.878
0.000 0.643 0.378
0.500 0.143 0.482
0.500 0.857 0.982